PaInMo | PBE | optimized geometry

Computed properties:
* offset from the most stable computed form: 0.000 eV per atom
* E: -7.2657 eV per atom

a = 6.636 Å, b = 6.636 Å, c = 6.636 Å
α = 90.00°, β = 90.00°, γ = 90.00°
Space group F-43m (No. 216)
Inequivalent atoms, fractional coordinates:
Pa 0.000 0.000 0.000
In 0.000 0.000 0.500
Mo 0.250 0.250 0.750

***

K2Na2HgAs2 | PBE | optimized geometry

Computed properties:
* offset from the most stable computed form: 0.000 eV per atom
* E: -2.4647 eV per atom

a = 5.3052 Å, b = 5.3052 Å, c = 28.5121 Å
α = 90.00°, β = 90.00°, γ = 120.00°
Space group R-3m (No. 166, hexagonal axes)
Inequivalent atoms, fractional coordinates:
K 0.0000 0.0000 0.2053
Na 0.0000 0.0000 0.3948
Hg 0.0000 0.0000 0.0000
As 0.0000 0.0000 0.0886

***

Rb2Gd2O5 | PBE | optimized geometry

Computed properties:
* offset from the most stable computed form: 1.390 eV per atom
* E: -4.7833 eV per atom

a = 4.450 Å, b = 4.450 Å, c = 7.893 Å
α = 90.00°, β = 90.00°, γ = 90.00°
Space group P4/mmm (No. 123)
Inequivalent atoms, fractional coordinates:
Rb 0.000 0.000 0.194
Gd 0.500 0.500 0.000
Gd 0.500 0.500 0.500
O 0.000 0.000 0.500
O 0.000 0.500 0.177